First-principles (PBE) data for a relaxed NiCl crystal, as listed in the Alexandria database.

Final energy ... -63.3 eV for the cell shown
Formation energy from raw total energies ... -13.7 kJ/mol of atoms

Cell lengths 6.788, 6.496, 8.184 Å; angles 90.00, 90.00, 90.00 degrees
Space group Pnma (No. 62)
Unique sites:
Ni (0.000, 0.000, 0.000) x4
Ni (0.121, 0.250, 0.191) x4
Cl (0.078, 0.750, 0.604) x4
Cl (0.089, 0.750, 0.152) x4

First-principles (PBE) data for a relaxed NaSe3O crystal, as listed in the Alexandria database.

ΔE to the lowest computed polymorph ... 6.67 eV per formula unit
Final energy ... -9.9 eV for the cell shown
Formation energy from raw total energies ... 132.0 kJ/mol of atoms

Cell lengths 5.049, 5.049, 5.049 Å; angles 90.00, 90.00, 90.00 degrees
Space group Pm-3m (No. 221)
Unique sites:
Na (0.000, 0.000, 0.000) x1
Se (0.000, 0.000, 0.500) x3
O (0.500, 0.500, 0.500) x1

First-principles (PBE) data for a relaxed KGe2O4 crystal, as listed in the Alexandria database.

Final energy ... -80.0 eV for the cell shown
Formation energy from raw total energies ... -135.7 kJ/mol of atoms

Cell lengths 7.910, 7.910, 5.402 Å; angles 90.00, 90.00, 90.00 degrees
Space group I4/m (No. 87)
Unique sites:
K (0.000, 0.000, 0.000) x2
Ge (0.000, 0.500, 0.250) x4
O (0.047, 0.344, 0.000) x8